Run i
Y3Te3N (PBE, relaxed); total magnetic moment = 0.000 μB per atom; symmetry = P2_1/c (14); theoretical density = 5.47 g/cm³
1.0
8.1461 0.0000 0.0000
0.0000 12.0481 0.0000
-2.8206 0.0000 8.2030
Y Te N
12 12 4
Direct
0.1007 0.0232 0.3611 Y
0.1007 0.4768 0.8611 Y
0.2671 0.7093 0.1529 Y
0.2671 0.7907 0.6529 Y
0.3403 0.0876 0.7954 Y
0.3403 0.4124 0.2954 Y
0.6597 0.5876 0.7046 Y
0.6597 0.9124 0.2046 Y
0.7329 0.2093 0.3471 Y
0.7329 0.2907 0.8471 Y
0.8993 0.5232 0.1389 Y
0.8993 0.9768 0.6389 Y
0.0084 0.2334 0.6893 Te
0.0084 0.2666 0.1893 Te
0.2748 0.5218 0.5852 Te
0.2748 0.9782 0.0852 Te
0.4522 0.1934 0.5175 Te
0.4522 0.3066 0.0175 Te
0.5478 0.6934 0.9825 Te
0.5478 0.8066 0.4825 Te
0.7252 0.0218 0.9148 Te
0.7252 0.4782 0.4148 Te
0.9916 0.7334 0.8107 Te
0.9916 0.7666 0.3107 Te
0.1740 0.5349 0.1230 N
0.1740 0.9651 0.6230 N
0.8260 0.0349 0.3770 N
0.8260 0.4651 0.8770 N

Run ii
Y3Te3N (PBE, relaxed); total magnetic moment = 0.000 μB per atom; symmetry = Pnma (62); theoretical density = 5.62 g/cm³
1.0
13.6777 0.0000 0.0000
0.0000 4.1434 0.0000
0.0000 0.0000 13.8484
Y Te N
12 12 4
Direct
0.0397 0.2500 0.1603 Y
0.0514 0.2500 0.6353 Y
0.1837 0.2500 0.8492 Y
0.3163 0.7500 0.3492 Y
0.4486 0.7500 0.1353 Y
0.4603 0.7500 0.6603 Y
0.5397 0.2500 0.3397 Y
0.5514 0.2500 0.8647 Y
0.6837 0.2500 0.6508 Y
0.8163 0.7500 0.1508 Y
0.9486 0.7500 0.3647 Y
0.9603 0.7500 0.8397 Y
0.1068 0.2500 0.3993 Te
0.1242 0.7500 0.9971 Te
0.2196 0.7500 0.6790 Te
0.2804 0.2500 0.1790 Te
0.3758 0.2500 0.4971 Te
0.3932 0.7500 0.8993 Te
0.6068 0.2500 0.1007 Te
0.6242 0.7500 0.5029 Te
0.7196 0.7500 0.8210 Te
0.7804 0.2500 0.3210 Te
0.8758 0.2500 0.0029 Te
0.8932 0.7500 0.6007 Te
0.0312 0.2500 0.7928 N
0.4688 0.7500 0.2928 N
0.5312 0.2500 0.7072 N
0.9688 0.7500 0.2072 N

It is run i that is most stable; the runner-up trails by 35 meV per atom.

Run i
Y3TeN (PBE, relaxed); total magnetic moment = 0.000 μB per atom; symmetry = P2_1/m (11); theoretical density = 5.43 g/cm³
1.0
7.2304 0.0000 0.0000
0.0000 3.9699 0.0000
-0.4343 0.0000 8.7007
Y Te N
6 2 2
Direct
0.1086 0.2500 0.1558 Y
0.1812 0.2500 0.5501 Y
0.3438 0.7500 0.8922 Y
0.6562 0.2500 0.1078 Y
0.8188 0.7500 0.4499 Y
0.8914 0.7500 0.8442 Y
0.4058 0.7500 0.2954 Te
0.5942 0.2500 0.7046 Te
0.0701 0.7500 0.6395 N
0.9299 0.2500 0.3605 N

Run ii
Y3TeN (PBE, relaxed); total magnetic moment = 0.000 μB per atom; symmetry = Pm-3m (221); theoretical density = 6.08 g/cm³
1.0
4.8129 0.0000 0.0000
0.0000 4.8129 0.0000
0.0000 0.0000 4.8129
Y Te N
3 1 1
Direct
0.0000 0.0000 0.5000 Y
0.0000 0.5000 0.0000 Y
0.5000 0.0000 0.0000 Y
0.5000 0.5000 0.5000 Te
0.0000 0.0000 0.0000 N

It is run i that is most stable; the runner-up trails by 188 meV per atom.

Run i
YZnTeN2 (PBE, relaxed); total magnetic moment = 0.480 μB per atom; symmetry = P4/mmm (123); theoretical density = 5.54 g/cm³
1.0
4.1931 0.0000 0.0000
0.0000 4.1931 0.0000
0.0000 0.0000 5.2884
Y Zn Te N
1 1 1 2
Direct
0.0000 0.0000 0.0000 Y
0.5000 0.5000 0.5000 Zn
0.5000 0.5000 0.0000 Te
0.0000 0.5000 0.5000 N
0.5000 0.0000 0.5000 N

Run ii
YZnTeN2 (PBE, relaxed); total magnetic moment = 0.680 μB per atom; symmetry = P4/mmm (123); theoretical density = 4.14 g/cm³
1.0
4.4182 0.0000 0.0000
0.0000 4.4182 0.0000
0.0000 0.0000 6.3686
Y Zn Te N
1 1 1 2
Direct
0.0000 0.0000 0.0000 Y
0.5000 0.5000 0.5000 Zn
0.0000 0.0000 0.5000 Te
0.0000 0.5000 0.0000 N
0.5000 0.0000 0.0000 N

It is run ii that is most stable; the runner-up trails by 32 meV per atom.

Run i
YZnTe2N (PBE, relaxed); total magnetic moment = 0.000 μB per atom; symmetry = P4/mmm (123); theoretical density = 4.64 g/cm³
1.0
6.1195 0.0000 0.0000
0.0000 6.1195 0.0000
0.0000 0.0000 4.0484
Y Zn Te N
1 1 2 1
Direct
0.0000 0.0000 0.0000 Y
0.5000 0.5000 0.5000 Zn
0.0000 0.5000 0.0000 Te
0.5000 0.0000 0.0000 Te
0.0000 0.0000 0.5000 N

Run ii
YZnTe2N (PBE, relaxed); total magnetic moment = 0.376 μB per atom; symmetry = P4/mmm (123); theoretical density = 5.94 g/cm³
1.0
5.5332 0.0000 0.0000
0.0000 5.5332 0.0000
0.0000 0.0000 3.8695
Y Zn Te N
1 1 2 1
Direct
0.0000 0.0000 0.0000 Y
0.5000 0.5000 0.5000 Zn
0.0000 0.5000 0.5000 Te
0.5000 0.0000 0.5000 Te
0.5000 0.5000 0.0000 N

It is run ii that is most stable; the runner-up trails by 242 meV per atom.

Run i
Zn2TeN (PBE, relaxed); total magnetic moment = 0.393 μB per atom; symmetry = Fm-3m (225); theoretical density = 6.52 g/cm³
1.0
0.0000 3.2608 3.2608
3.2608 0.0000 3.2608
3.2608 3.2608 0.0000
Zn Te N
2 1 1
Direct
0.2500 0.2500 0.2500 Zn
0.7500 0.7500 0.7500 Zn
0.0000 0.0000 0.0000 Te
0.5000 0.5000 0.5000 N

Run ii
Zn2TeN (PBE, relaxed); total magnetic moment = 0.000 μB per atom; symmetry = I-42d (122); theoretical density = 5.95 g/cm³
1.0
-2.7659 2.7659 4.9695
2.7659 -2.7659 4.9695
2.7659 2.7659 -4.9695
Zn Te N
4 2 2
Direct
0.3750 0.2400 0.3650 Zn
0.7600 0.1250 0.1350 Zn
0.8750 0.0100 0.6350 Zn
0.9900 0.6250 0.8650 Zn
0.2500 0.7500 0.5000 Te
0.5000 0.5000 0.0000 Te
0.0000 0.0000 0.0000 N
0.7500 0.2500 0.5000 N

It is run ii that is most stable; the runner-up trails by 1027 meV per atom.

Run i
ZrZnTe2N (PBE, relaxed); total magnetic moment = 0.302 μB per atom; symmetry = P4/mmm (123); theoretical density = 6.42 g/cm³
1.0
5.4649 0.0000 0.0000
0.0000 5.4649 0.0000
0.0000 0.0000 3.6890
Zr Zn Te N
1 1 2 1
Direct
0.0000 0.0000 0.0000 Zr
0.5000 0.5000 0.5000 Zn
0.0000 0.5000 0.5000 Te
0.5000 0.0000 0.5000 Te
0.5000 0.5000 0.0000 N

Run ii
ZrZnTe2N (PBE, relaxed); total magnetic moment = 0.000 μB per atom; symmetry = P4/mmm (123); theoretical density = 5.24 g/cm³
1.0
5.7925 0.0000 0.0000
0.0000 5.7925 0.0000
0.0000 0.0000 4.0224
Zr Zn Te N
1 1 2 1
Direct
0.0000 0.0000 0.0000 Zr
0.5000 0.5000 0.5000 Zn
0.0000 0.5000 0.0000 Te
0.5000 0.0000 0.0000 Te
0.0000 0.0000 0.5000 N

It is run ii that is most stable; the runner-up trails by 403 meV per atom.

Run i
Zr2Te2N (PBE, relaxed); total magnetic moment = 0.000 μB per atom; symmetry = I4/mmm (139); theoretical density = 6.13 g/cm³
1.0
-2.1251 2.1251 6.7771
2.1251 -2.1251 6.7771
2.1251 2.1251 -6.7771
Zr Te N
2 2 1
Direct
0.1033 0.1033 0.0000 Zr
0.8967 0.8967 0.0000 Zr
0.2500 0.7500 0.5000 Te
0.7500 0.2500 0.5000 Te
0.5000 0.5000 0.0000 N

Run ii
Zr2Te2N (PBE, relaxed); total magnetic moment = 0.000 μB per atom; symmetry = Ibam (72); theoretical density = 6.56 g/cm³
1.0
-3.6624 5.3746 2.9046
3.6624 -5.3746 2.9046
3.6624 5.3746 -2.9046
Zr Te N
4 4 2
Direct
0.0726 0.1907 0.2633 Zr
0.4274 0.6907 0.1181 Zr
0.5726 0.3093 0.8819 Zr
0.9274 0.8093 0.7367 Zr
0.1560 0.6137 0.7697 Te
0.3440 0.1137 0.4577 Te
0.6560 0.8863 0.5423 Te
0.8440 0.3863 0.2303 Te
0.2500 0.2500 0.0000 N
0.7500 0.7500 0.0000 N

It is run ii that is most stable; the runner-up trails by 1883 meV per atom.

Run i
ZrTe3N (PBE, relaxed); total magnetic moment = 0.548 μB per atom; symmetry = Pm-3m (221); theoretical density = 4.60 g/cm³
1.0
5.6047 0.0000 0.0000
0.0000 5.6047 0.0000
0.0000 0.0000 5.6047
Zr Te N
1 3 1
Direct
0.0000 0.0000 0.0000 Zr
0.0000 0.0000 0.5000 Te
0.0000 0.5000 0.0000 Te
0.5000 0.0000 0.0000 Te
0.5000 0.5000 0.5000 N

Run ii
ZrTe3N (PBE, relaxed); total magnetic moment = 0.000 μB per atom; symmetry = Pm-3m (221); theoretical density = 7.50 g/cm³
1.0
4.7621 0.0000 0.0000
0.0000 4.7621 0.0000
0.0000 0.0000 4.7621
Zr Te N
1 3 1
Direct
0.0000 0.0000 0.0000 Zr
0.0000 0.5000 0.5000 Te
0.5000 0.0000 0.5000 Te
0.5000 0.5000 0.0000 Te
0.5000 0.5000 0.5000 N

It is run ii that is most stable; the runner-up trails by 408 meV per atom.

Run i
Tm2ThN (PBE, relaxed); total magnetic moment = 0.000 μB per atom; symmetry = R-3m (166); theoretical density = 10.30 g/cm³
1.0
1.6917 0.9767 9.4907
-1.6917 0.9767 9.4907
0.0000 -1.9534 9.4907
Tm Th N
2 1 1
Direct
0.1203 0.1203 0.1203 Tm
0.8797 0.8797 0.8797 Tm
0.0000 0.0000 0.0000 Th
0.5000 0.5000 0.5000 N

Run ii
Tm2ThN (PBE, relaxed); total magnetic moment = 0.000 μB per atom; symmetry = P4/mmm (123); theoretical density = 11.43 g/cm³
1.0
3.1800 0.0000 0.0000
0.0000 3.1800 0.0000
0.0000 0.0000 8.3906
Tm Th N
2 1 1
Direct
0.0000 0.0000 0.1668 Tm
0.0000 0.0000 0.8332 Tm
0.5000 0.5000 0.5000 Th
0.5000 0.5000 0.0000 N

It is run i that is most stable; the runner-up trails by 520 meV per atom.

Run i
TiTlN2 (PBE, relaxed); total magnetic moment = 0.000 μB per atom; symmetry = R-3m (166); theoretical density = 7.10 g/cm³
1.0
1.7360 1.0023 6.2769
-1.7360 1.0023 6.2769
0.0000 -2.0046 6.2769
Ti Tl N
1 1 2
Direct
0.0000 0.0000 0.0000 Ti
0.5000 0.5000 0.5000 Tl
0.0999 0.0999 0.0999 N
0.9001 0.9001 0.9001 N

Run ii
TiTlN2 (PBE, relaxed); total magnetic moment = 0.000 μB per atom; symmetry = I-42d (122); theoretical density = 7.22 g/cm³
1.0
-2.6387 2.6387 4.6270
2.6387 -2.6387 4.6270
2.6387 2.6387 -4.6270
Ti Tl N
2 2 4
Direct
0.0000 0.0000 0.0000 Ti
0.7500 0.2500 0.5000 Ti
0.2500 0.7500 0.5000 Tl
0.5000 0.5000 0.0000 Tl
0.0318 0.6250 0.9068 N
0.3750 0.2818 0.4068 N
0.7182 0.1250 0.0932 N
0.8750 0.9682 0.5932 N

It is run ii that is most stable; the runner-up trails by 1119 meV per atom.

Run i
TiTlN2 (PBE, relaxed); total magnetic moment = 0.000 μB per atom; symmetry = Fm-3m (225); theoretical density = 9.64 g/cm³
1.0
0.0000 2.8897 2.8897
2.8897 0.0000 2.8897
2.8897 2.8897 0.0000
Ti Tl N
1 1 2
Direct
0.0000 0.0000 0.0000 Ti
0.5000 0.5000 0.5000 Tl
0.2500 0.2500 0.2500 N
0.7500 0.7500 0.7500 N

Run ii
TiTlN2 (PBE, relaxed); total magnetic moment = 0.000 μB per atom; symmetry = R-3m (166); theoretical density = 8.28 g/cm³
1.0
1.5724 0.9078 6.5650
-1.5724 0.9078 6.5650
0.0000 -1.8157 6.5650
Ti Tl N
1 1 2
Direct
0.0000 0.0000 0.0000 Ti
0.5000 0.5000 0.5000 Tl
0.3853 0.3853 0.3853 N
0.6147 0.6147 0.6147 N

It is run ii that is most stable; the runner-up trails by 1140 meV per atom.

Run i
ZrTi2VN (PBE, relaxed); total magnetic moment = 0.000 μB per atom; symmetry = P4/mmm (123); theoretical density = 5.70 g/cm³
1.0
4.2744 0.0000 0.0000
0.0000 4.2744 0.0000
0.0000 0.0000 4.0142
Zr Ti V N
1 2 1 1
Direct
0.0000 0.0000 0.0000 Zr
0.0000 0.5000 0.5000 Ti
0.5000 0.0000 0.5000 Ti
0.5000 0.5000 0.0000 V
0.5000 0.5000 0.5000 N

Run ii
ZrTi2VN (PBE, relaxed); total magnetic moment = 0.145 μB per atom; symmetry = P4/mmm (123); theoretical density = 5.49 g/cm³
1.0
4.0952 0.0000 0.0000
0.0000 4.0952 0.0000
0.0000 0.0000 4.5409
Zr Ti V N
1 2 1 1
Direct
0.0000 0.0000 0.0000 Zr
0.0000 0.5000 0.5000 Ti
0.5000 0.0000 0.5000 Ti
0.5000 0.5000 0.0000 V
0.0000 0.0000 0.5000 N

It is run ii that is most stable; the runner-up trails by 33 meV per atom.